Below is an optimized crystal structure of Lu5Hf3H12, with properties calculated at the PBE level.

abc: 12.250 12.250 12.250
angles: 90.00 90.00 90.00
Space group Ia-3d (No. 230)
Asymmetric unit:
Lu1 0.000 0.000 0.000
Lu2 0.000 0.250 0.375
Hf1 0.000 0.250 0.125
H1 0.004 0.072 0.158

Properties
VASP energy	-0.1848	hartree per atom
total magnetic moment	0.00	μB/f.u.
density of states at the Fermi level	0.579	states/eV per atom